Below is crystalline PrSm2Ge at its relaxed geometry, with properties calculated at the PBE-GGA level.

Computed properties:
The space-group type is R3m, No. 160. For the density of states at the Fermi level, the calculation gives 6.10 states/eV per cell. Its magnetic moment is 0.0 μB/f.u. The energy of formation from the pure elements comes out at -0.2481 eV per atom. The raw total energy comes out at -0.36432 Ry per atom. The value obtained for the theoretical density is 6.43 g cm⁻³. For the polymorph energy (0 for the lowest one), the calculation gives 0.198 eV/atom.

```
data_PrSm2Ge
_chemical_formula_sum 'Pr1 Sm2 Ge1'
_space_group_name_H-M_alt 'P 1'
_space_group_IT_number 1
_cell_length_a 9.6791
_cell_length_b 9.6791
_cell_length_c 9.6791
_cell_angle_alpha 24.09
_cell_angle_beta 24.09
_cell_angle_gamma 24.09
loop_
_space_group_symop_operation_xyz
'x,y,z'
loop_
_atom_site_label
_atom_site_type_symbol
_atom_site_fract_x
_atom_site_fract_y
_atom_site_fract_z
_atom_site_occupancy
Pr1 Pr 0.0000 0.0000 0.0000 1
Sm1 Sm 0.2294 0.2294 0.2294 1
Sm2 Sm 0.4407 0.4407 0.4407 1
Ge1 Ge 0.8356 0.8356 0.8356 1
```